No. 1
Compound: LaTmMgIn
Source: Alexandria
Functional: PBE
Structure: optimized geometry Values from VASP.

Values from the calculation:
The value obtained for the density of states at the Fermi level is 12.1 states/eV/cell. The value obtained for the calculated formation energy is -0.31 eV/atom.

Quantum ESPRESSO input file:
```
&SYSTEM
  ibrav = 0, nat = 16, ntyp = 4
/
ATOMIC_SPECIES
La 138.91 La.upf
Tm 168.93 Tm.upf
Mg 24.30 Mg.upf
In 114.82 In.upf
ATOMIC_POSITIONS crystal
La 0.000 0.000 0.000
La 0.000 0.500 0.500
La 0.500 0.000 0.500
La 0.500 0.500 0.000
Tm 0.000 0.000 0.500
Tm 0.000 0.500 0.000
Tm 0.500 0.000 0.000
Tm 0.500 0.500 0.500
Mg 0.250 0.250 0.750
Mg 0.250 0.750 0.250
Mg 0.750 0.250 0.250
Mg 0.750 0.750 0.750
In 0.250 0.250 0.250
In 0.250 0.750 0.750
In 0.750 0.250 0.750
In 0.750 0.750 0.250
CELL_PARAMETERS angstrom
7.670 0.000 0.000
0.000 7.670 0.000
0.000 0.000 7.670
```

=====

No. 2
Compound: Hg3SBr
Source: Alexandria
Functional: PBE
Structure: optimized geometry Values from VASP.

Values from the calculation:
The value obtained for the density of states at the Fermi level is 1.4 states/eV/cell. The value obtained for the raw formation energy is 0.02 eV/atom.

Quantum ESPRESSO input file:
```
&SYSTEM
  ibrav = 0, nat = 5, ntyp = 3
/
ATOMIC_SPECIES
Hg 200.59 Hg.upf
S 32.06 S.upf
Br 79.90 Br.upf
ATOMIC_POSITIONS crystal
Hg 0.000 0.000 0.500
Hg 0.000 0.500 0.000
Hg 0.500 0.000 0.000
S 0.000 0.000 0.000
Br 0.500 0.500 0.500
CELL_PARAMETERS angstrom
5.344 0.000 0.000
0.000 5.344 0.000
0.000 0.000 5.344
```

=====

No. 3
Compound: CePm12Ho5
Source: Alexandria
Functional: PBE
Structure: optimized geometry Values from VASP.

Values from the calculation:
The value obtained for the density of states at the Fermi level is 29.1 states/eV/cell. The value obtained for the calculated formation energy is 0.09 eV/atom.

Quantum ESPRESSO input file:
```
&SYSTEM
  ibrav = 0, nat = 18, ntyp = 3
/
ATOMIC_SPECIES
Ce 140.12 Ce.upf
Pm 145.00 Pm.upf
Ho 164.93 Ho.upf
ATOMIC_POSITIONS crystal
Ce 0.000 0.000 0.000
Pm 0.028 0.674 0.994
Pm 0.171 0.530 0.504
Pm 0.201 0.201 0.434
Pm 0.303 0.303 0.938
Pm 0.326 0.972 0.006
Pm 0.470 0.829 0.496
Pm 0.530 0.171 0.504
Pm 0.674 0.028 0.994
Pm 0.697 0.697 0.062
Pm 0.799 0.799 0.566
Pm 0.829 0.470 0.496
Pm 0.972 0.326 0.006
Ho 0.136 0.864 0.500
Ho 0.362 0.638 0.000
Ho 0.500 0.500 0.500
Ho 0.638 0.362 0.000
Ho 0.864 0.136 0.500
CELL_PARAMETERS angstrom
6.083 -8.446 0.000
6.083 8.446 0.000
-0.041 0.000 5.829
```